[1]
DFT (PBE) results for an optimized crystal structure of DyY2In3PdPt2.

abc: 3.8346 13.3595 7.7285
angles: 90.00 90.00 90.00
Space group Amm2 (No. 38)
Asymmetric unit:
Dy1 0.0000 0.0000 0.0000 x2
Y1 0.0000 0.2049 0.6157 x4
In1 0.5000 0.0000 0.6676 x2
In2 0.5000 0.1299 0.2819 x4
Pd1 0.0000 0.0000 0.4086 x2
Pt1 0.5000 0.1651 0.9116 x4

Output
* size of the total moment: 0.023 Bohr magnetons per cell
* theoretical density: 9.91 g cm⁻³
* crystal system: orthorhombic

=====

[2]
DFT (PBE) results for an optimized crystal structure of Dy2YIn3PdPt2.

abc: 3.8311 13.3793 7.7139
angles: 90.00 90.00 90.00
Space group Amm2 (No. 38)
Asymmetric unit:
Dy1 0.0000 0.2054 0.0000 x4
Y1 0.0000 0.0000 0.3850 x2
In1 0.5000 0.0000 0.0551 x2
In2 0.5000 0.1285 0.6650 x4
Pd1 0.0000 0.0000 0.7974 x2
Pt1 0.5000 0.1683 0.2939 x4

Output
* size of the total moment: 0.028 Bohr magnetons per cell
* theoretical density: 10.54 g cm⁻³
* crystal system: orthorhombic

=====

[3]
DFT (PBE) results for an optimized crystal structure of Dy4InSi4Pd2.

abc: 15.6127 4.2150 7.0576
angles: 90.00 108.07 90.00
Space group C2/m (No. 12)
Asymmetric unit:
Dy1 0.0839 0.0000 0.3772 x4
Dy2 0.1558 0.0000 0.9245 x4
In1 0.0000 0.5000 0.0000 x2
Si1 0.0617 0.5000 0.6515 x4
Si2 0.1945 0.5000 0.2467 x4
Pd1 0.2189 0.5000 0.6306 x4

Output
* size of the total moment: 0.012 Bohr magnetons per cell
* theoretical density: 8.20 g cm⁻³
* crystal system: monoclinic

=====

[4]
DFT (PBE) results for an optimized crystal structure of Dy2InSnPd4.

abc: 4.5888 4.5888 8.9413
angles: 90.00 90.00 120.00
Space group P-3m1 (No. 164)
Asymmetric unit:
Dy1 0.3333 0.6667 0.2501 x2
In1 0.0000 0.0000 0.5000 x1
Sn1 0.0000 0.0000 0.0000 x1
Pd1 0.3333 0.6667 0.5864 x2
Pd2 0.3333 0.6667 0.9126 x2

Output
* size of the total moment: 0.004 Bohr magnetons per cell
* theoretical density: 10.02 g cm⁻³
* crystal system: trigonal

=====

[5]
DFT (PBE) results for an optimized crystal structure of Dy3In2SnPd3.

abc: 3.8539 13.2785 7.7030
angles: 90.00 90.00 90.00
Space group Amm2 (No. 38)
Asymmetric unit:
Dy1 0.0000 0.0000 0.0000 x2
Dy2 0.0000 0.2041 0.3893 x4
In1 0.5000 0.1299 0.7245 x4
Sn1 0.5000 0.0000 0.3337 x2
Pd1 0.0000 0.0000 0.5884 x2
Pd2 0.5000 0.1659 0.0943 x4

Output
* size of the total moment: 0.034 Bohr magnetons per cell
* theoretical density: 9.73 g cm⁻³
* crystal system: orthorhombic

=====

[6]
DFT (PBE) results for an optimized crystal structure of Dy3InSn2Pd3.

abc: 3.8322 13.3704 7.6721
angles: 90.00 90.00 90.00
Space group Amm2 (No. 38)
Asymmetric unit:
Dy1 0.0000 0.0000 0.0000 x2
Dy2 0.0000 0.2018 0.3854 x4
In1 0.5000 0.0000 0.3289 x2
Sn1 0.5000 0.1312 0.7194 x4
Pd1 0.0000 0.0000 0.5969 x2
Pd2 0.5000 0.1671 0.0889 x4

Output
* size of the total moment: 0.023 Bohr magnetons per cell
* theoretical density: 9.79 g cm⁻³
* crystal system: orthorhombic

=====

[7]
DFT (PBE) results for an optimized crystal structure of Dy2InSnPd4.

abc: 4.7834 4.7834 6.7347
angles: 90.00 90.00 90.00
Space group P4/mmm (No. 123)
Asymmetric unit:
Dy1 0.0000 0.0000 0.0000 x1
Dy2 0.5000 0.5000 0.5000 x1
In1 0.0000 0.0000 0.5000 x1
Sn1 0.5000 0.5000 0.0000 x1
Pd1 0.0000 0.5000 0.2475 x4

Output
* size of the total moment: 0.002 Bohr magnetons per cell
* theoretical density: 10.61 g cm⁻³
* crystal system: tetragonal

=====

[8]
DFT (PBE) results for an optimized crystal structure of SrDyIn4Pd2.

abc: 7.8522 4.5164 10.5867
angles: 90.00 90.00 90.00
Space group Amm2 (No. 38)
Asymmetric unit:
Sr1 0.0000 0.0000 0.0000 x2
Dy1 0.5000 0.0000 0.1366 x2
In1 0.2039 0.0000 0.7098 x4
In2 0.3066 0.0000 0.4246 x4
Pd1 0.0000 0.0000 0.2837 x2
Pd2 0.5000 0.0000 0.8532 x2

Output
* size of the total moment: 0.001 Bohr magnetons per cell
* theoretical density: 8.16 g cm⁻³
* crystal system: orthorhombic

=====

[9]
DFT (PBE) results for an optimized crystal structure of Tb2DyIn3Pd3.

abc: 3.8641 13.3316 7.7056
angles: 90.00 90.00 90.00
Space group Amm2 (No. 38)
Asymmetric unit:
Tb1 0.0000 0.2042 0.0000 x4
Dy1 0.0000 0.0000 0.3876 x2
In1 0.5000 0.0000 0.0545 x2
In2 0.5000 0.1291 0.6664 x4
Pd1 0.0000 0.0000 0.7955 x2
Pd2 0.5000 0.1663 0.2960 x4

Output
* size of the total moment: 0.036 Bohr magnetons per cell
* theoretical density: 9.57 g cm⁻³
* crystal system: orthorhombic

=====

[10]
DFT (PBE) results for an optimized crystal structure of TbDyIn2Pd4.

abc: 4.5967 4.5967 8.9308
angles: 90.00 90.00 120.00
Space group P-6m2 (No. 187)
Asymmetric unit:
Tb1 0.0000 0.0000 0.0000 x1
Dy1 0.3333 0.6667 0.5000 x1
In1 0.6667 0.3333 0.2505 x2
Pd1 0.0000 0.0000 0.3378 x2
Pd2 0.3333 0.6667 0.1636 x2

Output
* size of the total moment: 0.008 Bohr magnetons per cell
* theoretical density: 9.92 g cm⁻³
* crystal system: hexagonal

=====

[11]
DFT (PBE) results for an optimized crystal structure of Dy2TmIn3Pd3.

abc: 3.8126 13.3150 7.7067
angles: 90.00 90.00 90.00
Space group Amm2 (No. 38)
Asymmetric unit:
Dy1 0.0000 0.2037 0.0000 x4
Tm1 0.0000 0.0000 0.3891 x2
In1 0.5000 0.0000 0.0574 x2
In2 0.5000 0.1298 0.6655 x4
Pd1 0.0000 0.0000 0.7952 x2
Pd2 0.5000 0.1655 0.2968 x4

Output
* size of the total moment: 0.042 Bohr magnetons per cell
* theoretical density: 9.83 g cm⁻³
* crystal system: orthorhombic

=====

[12]
DFT (PBE) results for an optimized crystal structure of DyTmIn2Pd4.

abc: 4.5858 4.5858 8.8663
angles: 90.00 90.00 120.00
Space group P-6m2 (No. 187)
Asymmetric unit:
Dy1 0.0000 0.0000 0.0000 x1
Tm1 0.6667 0.3333 0.5000 x1
In1 0.3333 0.6667 0.2518 x2
Pd1 0.0000 0.0000 0.3394 x2
Pd2 0.6667 0.3333 0.1643 x2

Output
* size of the total moment: 0.003 Bohr magnetons per cell
* theoretical density: 10.15 g cm⁻³
* crystal system: hexagonal

=====

[13]
DFT (PBE) results for an optimized crystal structure of DyY2In3Pd3.

abc: 3.8560 13.3117 7.7132
angles: 90.00 90.00 90.00
Space group Amm2 (No. 38)
Asymmetric unit:
Dy1 0.0000 0.0000 0.0000 x2
Y1 0.0000 0.2041 0.6131 x4
In1 0.5000 0.0000 0.6659 x2
In2 0.5000 0.1300 0.2801 x4
Pd1 0.0000 0.0000 0.4067 x2
Pd2 0.5000 0.1649 0.9099 x4

Output
* size of the total moment: 0.024 Bohr magnetons per cell
* theoretical density: 8.42 g cm⁻³
* crystal system: orthorhombic

=====

[14]
DFT (PBE) results for an optimized crystal structure of Dy2YIn3Pd3.

abc: 3.8339 13.3754 7.7037
angles: 90.00 90.00 90.00
Space group Amm2 (No. 38)
Asymmetric unit:
Dy1 0.0000 0.2043 0.0000 x4
Y1 0.0000 0.0000 0.3879 x2
In1 0.5000 0.0000 0.0571 x2
In2 0.5000 0.1292 0.6657 x4
Pd1 0.0000 0.0000 0.7984 x2
Pd2 0.5000 0.1679 0.2952 x4

Output
* size of the total moment: 0.019 Bohr magnetons per cell
* theoretical density: 9.06 g cm⁻³
* crystal system: orthorhombic

=====

[15]
DFT (PBE) results for an optimized crystal structure of DyYIn2Pd4.

abc: 4.5946 4.5946 8.9271
angles: 90.00 90.00 120.00
Space group P-6m2 (No. 187)
Asymmetric unit:
Dy1 0.0000 0.0000 0.0000 x1
Y1 0.6667 0.3333 0.5000 x1
In1 0.3333 0.6667 0.2499 x2
Pd1 0.0000 0.0000 0.3355 x2
Pd2 0.6667 0.3333 0.1629 x2

Output
* size of the total moment: 0.005 Bohr magnetons per cell
* theoretical density: 9.23 g cm⁻³
* crystal system: hexagonal

=====

[16]
DFT (PBE) results for an optimized crystal structure of DyYIn4Pd2.

abc: 7.5415 4.4919 10.6001
angles: 90.00 90.00 90.00
Space group Amm2 (No. 38)
Asymmetric unit:
Dy1 0.0000 0.0000 0.0000 x2
Y1 0.5000 0.0000 0.8535 x2
In1 0.2006 0.0000 0.2898 x4
In2 0.2992 0.0000 0.5639 x4
Pd1 0.0000 0.0000 0.7160 x2
Pd2 0.5000 0.0000 0.1379 x2

Output
* size of the total moment: 0.030 Bohr magnetons per cell
* theoretical density: 8.54 g cm⁻³
* crystal system: orthorhombic

=====

[17]
DFT (PBE) results for an optimized crystal structure of PmDyIn.

abc: 3.5587 4.5394 10.6177
angles: 90.00 90.00 90.00
Space group Imm2 (No. 44)
Asymmetric unit:
Pm1 0.0000 0.0000 0.0000 x2
Dy1 0.0000 0.0000 0.6934 x2
In1 0.0000 0.0000 0.3393 x2

Output
* size of the total moment: 0.250 Bohr magnetons per cell
* theoretical density: 8.18 g cm⁻³
* crystal system: orthorhombic

=====

[18]
DFT (PBE) results for an optimized crystal structure of PmDyIn.

abc: 7.4075 7.4075 7.4075
angles: 90.00 90.00 90.00
Space group F-43m (No. 216)
Asymmetric unit:
Pm1 0.0000 0.0000 0.0000 x4
Dy1 0.0000 0.0000 0.5000 x4
In1 0.2500 0.2500 0.7500 x4

Output
* size of the total moment: 0.564 Bohr magnetons per cell
* theoretical density: 6.90 g cm⁻³
* crystal system: cubic

=====

[19]
DFT (PBE) results for an optimized crystal structure of PmDyIn2.

abc: 3.7970 3.7970 7.5854
angles: 90.00 90.00 90.00
Space group P4/mmm (No. 123)
Asymmetric unit:
Pm1 0.0000 0.0000 0.0000 x1
Dy1 0.0000 0.0000 0.5000 x1
In1 0.5000 0.5000 0.2596 x2

Output
* size of the total moment: 0.006 Bohr magnetons per cell
* theoretical density: 8.16 g cm⁻³
* crystal system: tetragonal

=====

[20]
DFT (PBE) results for an optimized crystal structure of Pr2Dy2In.

abc: 8.2463 8.2463 4.7530
angles: 90.00 90.00 90.00
Space group P4/mbm (No. 127)
Asymmetric unit:
Pr1 0.1547 0.3453 0.0000 x4
Dy1 0.1483 0.6483 0.5000 x4
In1 0.0000 0.0000 0.5000 x2

Output
* size of the total moment: 0.014 Bohr magnetons per cell
* theoretical density: 7.41 g cm⁻³
* crystal system: tetragonal

=====

[21]
DFT (PBE) results for an optimized crystal structure of PrDyIn2.

abc: 3.8257 3.8257 7.6386
angles: 90.00 90.00 90.00
Space group P4/mmm (No. 123)
Asymmetric unit:
Pr1 0.0000 0.0000 0.0000 x1
Dy1 0.0000 0.0000 0.5000 x1
In1 0.5000 0.5000 0.2650 x2

Output
* size of the total moment: 0.009 Bohr magnetons per cell
* theoretical density: 7.92 g cm⁻³
* crystal system: tetragonal

=====

[22]
DFT (PBE) results for an optimized crystal structure of PrDyIn.

abc: 7.4602 7.4602 7.4602
angles: 90.00 90.00 90.00
Space group F-43m (No. 216)
Asymmetric unit:
Pr1 0.0000 0.0000 0.0000 x4
Dy1 0.0000 0.0000 0.5000 x4
In1 0.2500 0.2500 0.7500 x4

Output
* size of the total moment: 2.234 Bohr magnetons per cell
* theoretical density: 6.69 g cm⁻³
* crystal system: cubic

=====

[23]
DFT (PBE) results for an optimized crystal structure of DyInPt2.

abc: 4.5802 4.5802 9.0245
angles: 90.00 90.00 120.00
Space group P6_3/mmc (No. 194)
Asymmetric unit:
Dy1 0.3333 0.6667 0.2500 x2
In1 0.0000 0.0000 0.0000 x2
Pt1 0.3333 0.6667 0.5926 x4

Output
* size of the total moment: 0.012 Bohr magnetons per cell
* theoretical density: 13.52 g cm⁻³
* crystal system: hexagonal

=====

[24]
DFT (PBE) results for an optimized crystal structure of Dy2In16Pt7.

abc: 12.2620 20.2187 4.4333
angles: 90.00 90.00 90.00
Space group Cmmm (No. 65)
Asymmetric unit:
Dy1 0.1695 0.0000 0.0000 x4
In1 0.0000 0.0728 0.5000 x4
In2 0.1241 0.1626 0.0000 x8
In3 0.1306 0.3870 0.0000 x8
In4 0.1322 0.5000 0.5000 x4
In5 0.1360 0.2767 0.5000 x8
Pt1 0.0000 0.2759 0.0000 x4
Pt2 0.0000 0.5000 0.0000 x2
Pt3 0.2235 0.1076 0.5000 x8

Output
* size of the total moment: 0.014 Bohr magnetons per cell
* theoretical density: 10.66 g cm⁻³
* crystal system: orthorhombic

=====

E, record by record: -5.742 -5.535 -5.713 -5.436 -5.174 -5.356 -5.433 -4.051 -4.999 -5.249 -4.976 -5.232 -5.411 -5.202 -5.479 -4.698 -4.308 -4.124 -4.189 -4.356 -4.197 -4.133 -5.832 -4.336 eV/atom